Entry from Alexandria via LeMat-Bulk: a relaxed structure of Na2ScTaAu (GGA-PBE).

```
Na2ScTaAu
1.0
5.638 0.000 0.000
0.000 5.638 0.000
0.000 0.000 4.979
Na Sc Ta Au
2 1 1 1
Cartesian
0.000 2.819 0.000
2.819 0.000 0.000
0.000 0.000 2.490
0.000 0.000 0.000
2.819 2.819 2.490
```

Calculated values
Energy of formation from the pure elements (eV per atom): 1.407
Space-group type: P4/mmm, No. 123

=====

Entry from Alexandria via LeMat-Bulk: a relaxed structure of LaAs2RhO (GGA-PBE).

```
LaAs2RhO
1.0
5.769 0.000 0.000
0.000 5.769 0.000
0.000 0.000 4.075
La As Rh O
1 2 1 1
Cartesian
0.000 0.000 0.000
0.000 2.885 0.000
2.885 0.000 0.000
2.885 2.885 2.037
0.000 0.000 2.037
```

Calculated values
Formation energy from raw total energies (eV per atom): 0.337
Space-group type: P4/mmm, No. 123

=====

Entry from Alexandria via LeMat-Bulk: a relaxed structure of ZrCu2BH (GGA-PBE).

```
ZrCu2BH
1.0
3.817 0.000 0.000
0.000 3.817 0.000
0.000 0.000 4.733
Zr Cu B H
1 2 1 1
Cartesian
0.000 0.000 0.000
0.000 1.909 2.366
1.909 0.000 2.366
0.000 0.000 2.366
1.909 1.909 0.000
```

Calculated values
Space-group type: P4/mmm, No. 123
Uncorrected energy (eV for the cell shown): -25.0

=====

Entry from Alexandria via LeMat-Bulk: a relaxed structure of AlCrP (GGA-PBE).

```
AlCrP
1.0
-1.524 1.524 4.022
1.524 -1.524 4.022
1.524 1.524 -4.022
Al Cr P
1 1 1
Cartesian
0.000 0.000 0.000
0.000 0.000 5.515
0.000 0.000 2.534
```

Calculated values
Energy of formation from the pure elements (eV per atom): -0.396
Space-group type: I4mm, No. 107